The following is a DFT calculation (PBE) of a geometry-optimized CsKSi structure.

Summary:
E_form (uncorrected) in kJ/mol of atoms: 12.0
Total magnetization in μB/cell: 0.00
ρ in g/cm³: 2.32

a = 4.1338 Å, b = 6.9959 Å, c = 10.6979 Å
α = 109.02°, β = 101.12°, γ = 90.01°
Last column: nearest neighbours and their distance in Å.
Fractional coordinates of all 6 atoms:
Cs 0.1546 0.4044 0.3087  2 Si 3.72-3.73, 2 Cs 4.13
Cs 0.8454 0.5956 0.6913  2 Si 3.72-3.73, 2 Cs 4.13
K 0.4168 0.1667 0.8335  2 Si 3.39
K 0.5832 0.8333 0.1665  2 Si 3.39
Si 0.2189 0.9690 0.4381  2 Si 2.40
Si 0.7811 0.0310 0.5619  2 Si 2.40



The following is a DFT calculation (PBE) of a geometry-optimized SrSBr structure.

Summary:
E_form (uncorrected) in kJ/mol of atoms: -168.0
Total magnetization in μB/cell: 0.00
ρ in g/cm³: 3.59

a = 4.9267 Å, b = 4.9267 Å, c = 8.4248 Å
α = 96.52°, β = 96.52°, γ = 65.67°
Last column: nearest neighbours and their distance in Å.
Fractional coordinates of all 6 atoms:
Sr 0.2084 0.2084 0.2739  4 S 3.00-3.15, 3 Br 3.14-3.15
Sr 0.7916 0.7916 0.7261  4 S 3.00-3.15, 3 Br 3.14-3.15
S 0.4219 0.4219 0.5909  1 S 2.13
S 0.5781 0.5781 0.4091  1 S 2.13
Br 0.1634 0.1634 0.8638  4 Sr 3.14-3.42, 1 S 3.35
Br 0.8366 0.8366 0.1362  4 Sr 3.14-3.42, 1 S 3.35



The following is a DFT calculation (PBE) of a geometry-optimized HRhS2 structure.

Summary:
Total magnetization in μB/cell: 0.00
ρ in g/cm³: 5.10
Raw total energy in eV/atom: -5.06

a = 3.6463 Å, b = 5.2177 Å, c = 5.7539 Å
α = 90.00°, β = 90.00°, γ = 90.00°
Last column: nearest neighbours and their distance in Å.
Fractional coordinates of all 8 atoms:
H 0.0000 0.2494 0.0000  2 S 1.60-1.61
H 0.5000 0.7506 0.5000  2 S 1.60-1.61
Rh 0.0000 0.2501 0.4998  6 S 2.39-2.40
Rh 0.5000 0.7499 0.9998  6 S 2.39-2.40
S 0.0000 0.5068 0.8466  1 H 1.61
S 0.0000 0.9931 0.1532  1 H 1.60
S 0.5000 0.0069 0.6532  1 H 1.60
S 0.5000 0.4932 0.3466  1 H 1.61